1 | Compound: Sr2Tl2Rh
Source: Alexandria
Functional: PBE
Structure: optimized geometry

abc: 6.437 6.437 12.383
angles: 112.14 112.14 39.46
Sites, in units of the cell vectors:
1 Sr 0.000 0.000 0.161
2 Sr 0.000 0.000 0.839
3 Sr 0.194 0.194 0.631
4 Sr 0.806 0.806 0.369
5 Tl 0.325 0.325 0.943
6 Tl 0.470 0.470 0.614
7 Tl 0.530 0.530 0.386
8 Tl 0.675 0.675 0.057
9 Rh 0.313 0.313 0.179
10 Rh 0.687 0.687 0.821

Output
As for the crystal system: monoclinic. The space group is C2/m (12).

---

2 | Compound: Sr2Tl2Rh
Source: Alexandria
Functional: PBE
Structure: optimized geometry

abc: 7.782 7.782 7.782
angles: 143.62 143.62 52.39
Sites, in units of the cell vectors:
1 Sr 0.250 0.750 0.500
2 Sr 0.750 0.250 0.500
3 Tl 0.096 0.096 0.000
4 Tl 0.904 0.904 0.000
5 Rh 0.500 0.500 0.000

Output
As for the crystal system: tetragonal. The space group is I4/mmm (139).

---

3 | Compound: Sr2Tl2Rh
Source: Alexandria
Functional: PBE
Structure: optimized geometry

abc: 7.502 7.502 5.259
angles: 90.00 90.00 90.00
Sites, in units of the cell vectors:
1 Sr 0.178 0.322 0.000
2 Sr 0.322 0.822 0.000
3 Sr 0.678 0.178 0.000
4 Sr 0.822 0.678 0.000
5 Tl 0.144 0.644 0.500
6 Tl 0.356 0.144 0.500
7 Tl 0.644 0.856 0.500
8 Tl 0.856 0.356 0.500
9 Rh 0.000 0.000 0.500
10 Rh 0.500 0.500 0.500

Output
As for the crystal system: tetragonal. The space group is P4/mbm (127).

---

Which one sits at the top of the stability order? 1 does.

---

1 | Compound: SrTl3Rh2
Source: Alexandria
Functional: PBE
Structure: optimized geometry

abc: 6.312 6.312 4.245
angles: 90.00 90.00 120.00
Sites, in units of the cell vectors:
1 Sr 0.000 0.000 0.000
2 Tl 0.000 0.500 0.500
3 Tl 0.500 0.000 0.500
4 Tl 0.500 0.500 0.500
5 Rh 0.333 0.667 0.000
6 Rh 0.667 0.333 0.000

Output
As for the crystal system: hexagonal. The space group is P6/mmm (191).

---

2 | Compound: SrTl3Rh2
Source: Alexandria
Functional: PBE
Structure: optimized geometry

abc: 8.911 8.911 8.773
angles: 119.18 119.18 29.05
Sites, in units of the cell vectors:
1 Sr 0.136 0.136 0.117
2 Sr 0.864 0.864 0.883
3 Tl 0.012 0.012 0.343
4 Tl 0.326 0.326 0.550
5 Tl 0.342 0.342 0.171
6 Tl 0.658 0.658 0.829
7 Tl 0.674 0.674 0.450
8 Tl 0.988 0.988 0.657
9 Rh 0.189 0.189 0.661
10 Rh 0.499 0.499 0.856
11 Rh 0.501 0.501 0.144
12 Rh 0.811 0.811 0.339

Output
As for the crystal system: monoclinic. The space group is C2/m (12).

---

Which one sits at the top of the stability order? 2 does.

---

1 | Compound: Sr8Tl2Rh
Source: Alexandria
Functional: PBE
Structure: optimized geometry

abc: 9.678 9.678 9.678
angles: 146.71 120.59 69.83
Sites, in units of the cell vectors:
1 Sr 0.116 0.343 0.773
2 Sr 0.123 0.123 0.000
3 Sr 0.324 0.000 0.324
4 Sr 0.430 0.657 0.773
5 Sr 0.570 0.343 0.227
6 Sr 0.676 0.000 0.676
7 Sr 0.877 0.877 0.000
8 Sr 0.884 0.657 0.227
9 Tl 0.310 0.810 0.500
10 Tl 0.690 0.190 0.500
11 Rh 0.000 0.500 0.500

Output
As for the crystal system: orthorhombic. The space group is Immm (71).

---

2 | Compound: Sr8Tl2Rh
Source: Alexandria
Functional: PBE
Structure: optimized geometry

abc: 10.412 10.412 7.670
angles: 107.29 107.29 32.79
Sites, in units of the cell vectors:
1 Sr 0.025 0.025 0.296
2 Sr 0.210 0.210 0.796
3 Sr 0.352 0.352 0.548
4 Sr 0.409 0.409 0.090
5 Sr 0.591 0.591 0.910
6 Sr 0.648 0.648 0.452
7 Sr 0.790 0.790 0.204
8 Sr 0.975 0.975 0.704
9 Tl 0.182 0.182 0.214
10 Tl 0.818 0.818 0.786
11 Rh 0.500 0.500 0.500

Output
As for the crystal system: monoclinic. The space group is C2/m (12).

---

Which one sits at the top of the stability order? 2 does.

---

1 | Compound: Sr2TlZnRh
Source: Alexandria
Functional: PBE
Structure: optimized geometry

abc: 5.756 5.756 4.883
angles: 90.00 90.00 90.00
Sites, in units of the cell vectors:
1 Sr 0.000 0.500 0.000
2 Sr 0.500 0.000 0.000
3 Tl 0.000 0.000 0.500
4 Zn 0.500 0.500 0.500
5 Rh 0.500 0.500 0.000

Output
As for the crystal system: tetragonal. The space group is P4/mmm (123).

---

2 | Compound: Sr2TlZnRh
Source: Alexandria
Functional: PBE
Structure: optimized geometry

abc: 5.747 5.747 5.242
angles: 90.00 90.00 90.00
Sites, in units of the cell vectors:
1 Sr 0.000 0.500 0.000
2 Sr 0.500 0.000 0.000
3 Tl 0.000 0.000 0.500
4 Zn 0.500 0.500 0.500
5 Rh 0.000 0.000 0.000

Output
As for the crystal system: tetragonal. The space group is P4/mmm (123).

---

Which one sits at the top of the stability order? 1 does.